The following is a DFT calculation (GGA-PBE) of a relaxed CaFeRu2 crystal.

a = 4.2298 Å, b = 2.8621 Å, c = 5.7393 Å
α = 75.60°, β = 90.00°, γ = 90.00°
Last column: magnetic moment on the atom in μB.
Positions (direct):
Ru  0.0000  0.8062  0.0134  0.12
Ru  0.5000  0.2260  0.1734  -0.25
Ca  0.0000  0.5529  0.5189  -0.03
Fe  0.5000  0.9148  0.7944  2.35

Calculated values
energy of formation from the pure elements	0.421	eV per atom
total magnetization	0.553	μB per atom

***

The following is a DFT calculation (GGA-PBE) of a relaxed Zr2ZnBi crystal.

a = 4.9891 Å, b = 4.9891 Å, c = 4.9891 Å
α = 60.00°, β = 60.00°, γ = 60.00°
Positions (direct):
Zn  0.0000  0.0000  0.0000
Bi  0.5000  0.5000  0.5000
Zr  0.2500  0.2500  0.2500
Zr  0.7500  0.7500  0.7500

Calculated values
energy of formation from the pure elements	-0.071	eV per atom
total magnetization	0.000	μB per atom
ΔE to the lowest computed polymorph	49	kJ/mol of formula units